VASP calculation (PBE) on NbCuRe after structural relaxation.

The value obtained for the relative energy among the computed polymorphs is 0 meV per atom. Its magnetization is 0.01 μB per cell. For the formation energy, the calculation gives 2.31 eV per formula unit.

The space group is F-43m (No. 216) and the conventional cell measures 5.828, 5.828 and 5.828 Å, with angles of 90.00, 90.00 and 90.00 degrees. The distinct sites, in fractional coordinates, are Nb at (0.000, 0.000, 0.000), Cu at (0.250, 0.250, 0.250) and Re at (0.000, 0.000, 0.500).